Compound: Pm2Ho7Er4
Source: Alexandria
Functional: GGA-PBE
Structure: relaxed

CIF file:
```
data_Pm2Ho7Er4
_cell_length_a 6.034
_cell_length_b 6.034
_cell_length_c 13.269
_cell_angle_alpha 90.00
_cell_angle_beta 90.00
_cell_angle_gamma 120.00
_space_group_name_H-M_alt 'P 1'
_space_group_IT_number 1
loop_
_space_group_symop_operation_xyz
'x,y,z'
loop_
_atom_site_label
_atom_site_fract_x
_atom_site_fract_y
_atom_site_fract_z
Pm1 0.333 0.667 0.000
Pm2 0.667 0.333 0.000
Ho1 0.000 0.000 0.000
Ho2 0.000 0.353 0.217
Ho3 0.000 0.647 0.783
Ho4 0.353 0.000 0.217
Ho5 0.353 0.353 0.783
Ho6 0.647 0.000 0.783
Ho7 0.647 0.647 0.217
Er1 0.000 0.000 0.395
Er2 0.000 0.000 0.605
Er3 0.333 0.667 0.500
Er4 0.667 0.333 0.500
```

## Properties
formation enthalpy at 0 K	189.7	meV per atom
DFT total energy	-4.41	eV/atom
symmetry	P-31m, No. 162

Compound: CdPtW2
Source: Alexandria
Functional: GGA-PBE
Structure: relaxed

CIF file:
```
data_CdPtW2
_cell_length_a 2.748
_cell_length_b 4.389
_cell_length_c 5.515
_cell_angle_alpha 90.00
_cell_angle_beta 90.23
_cell_angle_gamma 90.00
_space_group_name_H-M_alt 'P 1'
_space_group_IT_number 1
loop_
_space_group_symop_operation_xyz
'x,y,z'
loop_
_atom_site_label
_atom_site_fract_x
_atom_site_fract_y
_atom_site_fract_z
Cd1 0.000 0.000 0.000
Pt1 0.000 0.000 0.500
W1 0.496 0.500 0.740
W2 0.504 0.500 0.260
```

## Properties
formation enthalpy at 0 K	316.3	meV per atom
DFT total energy	-7.90	eV/atom
symmetry	P2/m, No. 10

Compound: Sm8CdSn2
Source: Alexandria
Functional: GGA-PBE
Structure: relaxed

CIF file:
```
data_Sm8CdSn2
_cell_length_a 10.149
_cell_length_b 10.149
_cell_length_c 6.936
_cell_angle_alpha 104.27
_cell_angle_beta 104.27
_cell_angle_gamma 29.84
_space_group_name_H-M_alt 'P 1'
_space_group_IT_number 1
loop_
_space_group_symop_operation_xyz
'x,y,z'
loop_
_atom_site_label
_atom_site_fract_x
_atom_site_fract_y
_atom_site_fract_z
Sm1 0.017 0.017 0.269
Sm2 0.212 0.212 0.819
Sm3 0.342 0.342 0.505
Sm4 0.407 0.407 0.019
Sm5 0.593 0.593 0.981
Sm6 0.658 0.658 0.495
Sm7 0.788 0.788 0.181
Sm8 0.983 0.983 0.731
Cd1 0.500 0.500 0.500
Sn1 0.180 0.180 0.253
Sn2 0.820 0.820 0.747
```

## Properties
formation enthalpy at 0 K	-300.9	meV per atom
DFT total energy	-4.54	eV/atom
symmetry	C2/m, No. 12

Compound: CsLi3Ge
Source: Alexandria
Functional: GGA-PBE
Structure: relaxed

CIF file:
```
data_CsLi3Ge
_cell_length_a 5.183
_cell_length_b 5.183
_cell_length_c 5.183
_cell_angle_alpha 90.00
_cell_angle_beta 90.00
_cell_angle_gamma 90.00
_space_group_name_H-M_alt 'P 1'
_space_group_IT_number 1
loop_
_space_group_symop_operation_xyz
'x,y,z'
loop_
_atom_site_label
_atom_site_fract_x
_atom_site_fract_y
_atom_site_fract_z
Cs1 0.000 0.000 0.000
Li1 0.000 0.500 0.500
Li2 0.500 0.000 0.500
Li3 0.500 0.500 0.000
Ge1 0.500 0.500 0.500
```

## Properties
formation enthalpy at 0 K	-151.7	meV per atom
DFT total energy	-2.39	eV/atom
symmetry	Pm-3m, No. 221

Compound: GaHg3Bi
Source: Alexandria
Functional: GGA-PBE
Structure: relaxed

CIF file:
```
data_GaHg3Bi
_cell_length_a 5.882
_cell_length_b 5.882
_cell_length_c 5.882
_cell_angle_alpha 90.00
_cell_angle_beta 90.00
_cell_angle_gamma 90.00
_space_group_name_H-M_alt 'P 1'
_space_group_IT_number 1
loop_
_space_group_symop_operation_xyz
'x,y,z'
loop_
_atom_site_label
_atom_site_fract_x
_atom_site_fract_y
_atom_site_fract_z
Ga1 0.000 0.000 0.000
Hg1 0.000 0.500 0.500
Hg2 0.500 0.000 0.500
Hg3 0.500 0.500 0.000
Bi1 0.500 0.500 0.500
```

## Properties
formation enthalpy at 0 K	429.7	meV per atom
DFT total energy	-1.13	eV/atom
symmetry	Pm-3m, No. 221

Compound: Li4Np3GeSe8
Source: Alexandria
Functional: GGA-PBE
Structure: relaxed

CIF file:
```
data_Li4Np3GeSe8
_cell_length_a 7.969
_cell_length_b 7.969
_cell_length_c 7.969
_cell_angle_alpha 61.83
_cell_angle_beta 61.83
_cell_angle_gamma 61.83
_space_group_name_H-M_alt 'P 1'
_space_group_IT_number 1
loop_
_space_group_symop_operation_xyz
'x,y,z'
loop_
_atom_site_label
_atom_site_fract_x
_atom_site_fract_y
_atom_site_fract_z
Li1 0.000 0.000 0.000
Li2 0.000 0.500 0.500
Li3 0.500 0.000 0.500
Li4 0.500 0.500 0.000
Np1 0.000 0.000 0.500
Np2 0.000 0.500 0.000
Np3 0.500 0.000 0.000
Ge1 0.500 0.500 0.500
Se1 0.250 0.250 0.749
Se2 0.250 0.749 0.250
Se3 0.251 0.750 0.750
Se4 0.252 0.252 0.252
Se5 0.748 0.748 0.748
Se6 0.749 0.250 0.250
Se7 0.750 0.251 0.750
Se8 0.750 0.750 0.251
```

## Properties
DFT total energy	-6.01	eV/atom
symmetry	R-3m, No. 166
raw formation energy	-17.1	eV per formula unit